(1)
{"formula": "CdOsN3", "functional": "PBE", "state": "relaxed", "raw_formation_energy_ev_per_atom": 1.006, "spacegroup": "No. 221", "total_magnetization_mub_per_fu": 0.00, "lattice_angstrom": [[3.895, 0.000, 0.000], [0.000, 3.895, 0.000], [0.000, 0.000, 3.895]], "species": ["Cd", "Os", "N", "N", "N"], "frac_coords": [[0.000, 0.000, 0.000], [0.500, 0.500, 0.500], [0.000, 0.500, 0.500], [0.500, 0.000, 0.500], [0.500, 0.500, 0.000]]}


(2)
{"formula": "AlTlGe2", "functional": "PBE", "state": "relaxed", "formation_enthalpy_0k_ev_per_fu": 1.28, "spacegroup": "No. 122", "total_magnetization_mub_per_fu": 0.00, "e_above_lowest_polymorph_mev_per_atom": 166, "lattice_angstrom": [[-2.727, 2.727, 7.276], [2.727, -2.727, 7.276], [2.727, 2.727, -7.276]], "species": ["Al", "Al", "Tl", "Tl", "Ge", "Ge", "Ge", "Ge"], "frac_coords": [[0.000, 0.000, 0.000], [0.750, 0.250, 0.500], [0.250, 0.750, 0.500], [0.500, 0.500, 0.000], [0.063, 0.625, 0.938], [0.375, 0.313, 0.438], [0.687, 0.125, 0.062], [0.875, 0.937, 0.562]]}


(3)
{"formula": "Tl2HgGeO4", "functional": "PBE", "state": "relaxed", "raw_formation_energy_ev_per_atom": -0.802, "spacegroup": "No. 70", "total_magnetization_mub_per_fu": 0.00, "lattice_angstrom": [[0.000, 5.854, 10.258], [2.999, 0.000, 10.258], [2.999, 5.854, 0.000]], "species": ["Tl", "Tl", "Tl", "Tl", "Hg", "Hg", "Ge", "Ge", "O", "O", "O", "O", "O", "O", "O", "O"], "frac_coords": [[0.069, 0.069, 0.681], [0.319, 0.319, 0.931], [0.681, 0.681, 0.069], [0.931, 0.931, 0.319], [0.125, 0.125, 0.125], [0.875, 0.875, 0.875], [0.375, 0.375, 0.375], [0.625, 0.625, 0.625], [0.046, 0.629, 0.508], [0.317, 0.508, 0.629], [0.371, 0.954, 0.683], [0.492, 0.683, 0.954], [0.508, 0.317, 0.046], [0.629, 0.046, 0.317], [0.683, 0.492, 0.371], [0.954, 0.371, 0.492]]}


(4)
{"formula": "KSc2Ag", "functional": "PBE", "state": "relaxed", "formation_enthalpy_0k_ev_per_fu": 0.55, "spacegroup": "No. 99", "total_magnetization_mub_per_fu": 1.26, "lattice_angstrom": [[3.425, 0.000, 0.000], [0.000, 3.425, 0.000], [0.000, 0.000, 9.794]], "species": ["K", "Sc", "Sc", "Ag"], "frac_coords": [[0.000, 0.000, 0.000], [0.000, 0.000, 0.565], [0.500, 0.500, 0.350], [0.500, 0.500, 0.730]]}